Compound: YCrBi2O6
Source: the Alexandria database
Functional: PBE with a Hubbard U
Structure: relaxed

```
YCrBi2O6
1.0
5.811 -2.734 0.000
5.811 2.734 0.000
-2.152 0.000 4.926
Y Cr Bi O
1 1 2 6
Cartesian
0.000 0.000 0.000
4.734 0.000 2.463
1.065 0.000 3.709
8.404 0.000 1.217
4.348 1.340 1.122
1.504 0.000 1.636
5.120 1.340 3.804
4.348 -1.340 1.122
7.965 0.000 3.290
5.120 -1.340 3.804
```

Output
The value obtained for the total energy is -0.5088 Ry per atom.